# 1
Here is a relaxed structure of TlFe2Rh from Alexandria. Energies are from PBE-GGA.

Cell: 4.7758 4.7758 4.7150 Å, 105.77 105.77 36.62°
Positions (direct):
Tl (0.0000, 0.0000, 0.0000)
Fe (0.2342, 0.2342, 0.7268)
Fe (0.5143, 0.5143, 0.5112)
Rh (0.7682, 0.7682, 0.2885)

N(E_F) in states/eV/f.u.: 3.237
Total magnetization in μB/f.u.: 5.9
Formation energy in eV/atom: 0.292
Distance to the lowest polymorph of the same formula in meV/atom: 63

# 2
Here is a relaxed structure of BaTc2Ag from Alexandria. Energies are from PBE-GGA.

Cell: 3.0761 5.0260 5.3391 Å, 90.00 90.00 90.00°
Positions (direct):
Ba (0.0000, 0.0000, 0.0000)
Tc (0.0000, 0.5000, 0.5000)
Tc (0.5000, 0.0000, 0.5000)
Ag (0.5000, 0.5000, 0.0000)

N(E_F) in states/eV/f.u.: 4.200
Total magnetization in μB/f.u.: 0.8
Formation energy in eV/atom: 1.145
Distance to the lowest polymorph of the same formula in meV/atom: 717

# 3
Here is a relaxed structure of HoTmAsS from Alexandria. Energies are from PBE-GGA.

Cell: 3.9751 3.9751 5.6334 Å, 90.00 90.00 90.00°
Positions (direct):
Ho (0.0000, 0.0000, 0.0000)
Tm (0.5000, 0.5000, 0.5000)
As (0.0000, 0.0000, 0.5000)
S (0.5000, 0.5000, 0.0000)

ΔE_f (raw) in eV/atom: -1.7723
N(E_F) in states/eV/f.u.: 0.894
Total magnetization in μB/f.u.: 0.0

# 4
Here is a relaxed structure of Na4PrHo3Te8 from Alexandria. Energies are from PBE-GGA.

Cell: 9.1517 9.1517 9.1517 Å, 58.27 58.27 58.27°
Positions (direct):
Na (0.0000, 0.0000, 0.0000)
Na (0.0000, 0.5000, 0.5000)
Na (0.5000, 0.0000, 0.5000)
Na (0.5000, 0.5000, 0.0000)
Pr (0.5000, 0.5000, 0.5000)
Ho (0.0000, 0.0000, 0.5000)
Ho (0.0000, 0.5000, 0.0000)
Ho (0.5000, 0.0000, 0.0000)
Te (0.2359, 0.7493, 0.7493)
Te (0.2432, 0.2432, 0.2432)
Te (0.2507, 0.2507, 0.7641)
Te (0.2507, 0.7641, 0.2507)
Te (0.7493, 0.2359, 0.7493)
Te (0.7493, 0.7493, 0.2359)
Te (0.7568, 0.7568, 0.7568)
Te (0.7641, 0.2507, 0.2507)

ΔE_f (raw) in eV/atom: -1.3111
Total magnetization in μB/f.u.: 0.0

# 5
Here is a relaxed structure of LiTb5In3 from Alexandria. Energies are from PBE-GGA.

Cell: 9.3103 9.3103 6.6558 Å, 90.00 90.00 120.00°
Positions (direct):
Li (0.0000, 0.0000, 0.0000)
Li (0.0000, 0.0000, 0.5000)
Tb (0.0000, 0.3081, 0.2500)
Tb (0.0000, 0.6919, 0.7500)
Tb (0.3081, 0.0000, 0.2500)
Tb (0.3081, 0.3081, 0.7500)
Tb (0.3333, 0.6667, 0.0000)
Tb (0.3333, 0.6667, 0.5000)
Tb (0.6667, 0.3333, 0.0000)
Tb (0.6667, 0.3333, 0.5000)
Tb (0.6919, 0.0000, 0.7500)
Tb (0.6919, 0.6919, 0.2500)
In (0.0000, 0.3521, 0.7500)
In (0.0000, 0.6479, 0.2500)
In (0.3521, 0.0000, 0.7500)
In (0.3521, 0.3521, 0.2500)
In (0.6479, 0.0000, 0.2500)
In (0.6479, 0.6479, 0.7500)

N(E_F) in states/eV/f.u.: 6.986
Total magnetization in μB/f.u.: 0.0
Formation energy in eV/atom: -0.344

# 6
Here is a relaxed structure of Nd4SmGe4 from Alexandria. Energies are from PBE-GGA.

Cell: 9.2076 9.2076 6.0839 Å, 90.00 90.00 90.00°
Positions (direct):
Nd (0.0519, 0.6687, 0.1249)
Nd (0.1687, 0.9481, 0.6249)
Nd (0.3313, 0.5519, 0.6249)
Nd (0.4481, 0.8313, 0.1249)
Nd (0.5519, 0.1687, 0.8751)
Nd (0.6687, 0.4481, 0.3751)
Nd (0.8313, 0.0519, 0.3751)
Nd (0.9481, 0.3313, 0.8751)
Sm (0.2500, 0.2500, 0.2500)
Sm (0.7500, 0.7500, 0.7500)
Ge (0.0197, 0.6266, 0.6155)
Ge (0.1266, 0.9803, 0.1155)
Ge (0.3734, 0.5197, 0.1155)
Ge (0.4803, 0.8734, 0.6155)
Ge (0.5197, 0.1266, 0.3845)
Ge (0.6266, 0.4803, 0.8845)
Ge (0.8734, 0.0197, 0.8845)
Ge (0.9803, 0.3734, 0.3845)

N(E_F) in states/eV/f.u.: 9.097
Total magnetization in μB/f.u.: 0.0
Formation energy in eV/atom: -0.577

Number 1: VASP energy -6.369 eV/atom. Number 2: VASP energy -5.232 eV/atom. Number 3: VASP energy -6.229 eV/atom. Number 4: VASP energy -4.369 eV/atom. Number 5: VASP energy -4.042 eV/atom. Number 6: VASP energy -5.273 eV/atom.